An optimized crystal structure of Th2TiSb3Rh4. Source: Alexandria via LeMat-Bulk, functional PBE.

Computed properties:
Crystal system   tetragonal
Volume   20.8 Å³/atom
DFT total energy   -7.267 eV/atom
Symmetry   P-4m2, No. 115
Formation energy (no corrections)   -816 meV per atom

a = 4.342 Å, b = 4.342 Å, c = 11.057 Å
α = 90.00°, β = 90.00°, γ = 90.00°
Positions (direct):
Sb: 0.000 0.000 0.500
Sb: 0.500 0.000 0.864
Sb: 0.000 0.500 0.136
Ti: 0.500 0.500 0.500
Rh: 0.500 0.500 0.000
Rh: 0.500 0.000 0.631
Rh: 0.000 0.000 0.000
Rh: 0.000 0.500 0.369
Th: 0.000 0.500 0.753
Th: 0.500 0.000 0.247